CuAu2Se: relaxed, PBEsol.

Geometry as CIF:
```
data_CuAu2Se
_space_group_name_H-M_alt 'F -4 3 m'
_space_group_IT_number 216
_space_group_name_Hall 'F -4 2 3'
_cell_length_a 6.434
_cell_length_b 6.434
_cell_length_c 6.434
_cell_angle_alpha 90.00
_cell_angle_beta 90.00
_cell_angle_gamma 90.00
loop_
_atom_site_label
_atom_site_fract_x
_atom_site_fract_y
_atom_site_fract_z
Cu1 0.000 0.000 0.000
Au1 0.000 0.000 0.500
Au2 0.250 0.250 0.250
Se1 0.250 0.250 0.750
```

Properties
M_tot in μB/atom: 0.00
Formation energy (no corrections) in kJ per mole of atoms: 26
Fermi-level density of states in states/eV per cell: 16.41

=====

CaPW: relaxed, PBEsol.

Geometry as CIF:
```
data_CaPW
_space_group_name_H-M_alt 'F -4 3 m'
_space_group_IT_number 216
_space_group_name_Hall 'F -4 2 3'
_cell_length_a 6.470
_cell_length_b 6.470
_cell_length_c 6.470
_cell_angle_alpha 90.00
_cell_angle_beta 90.00
_cell_angle_gamma 90.00
loop_
_atom_site_label
_atom_site_fract_x
_atom_site_fract_y
_atom_site_fract_z
Ca1 0.000 0.000 0.000
P1 0.250 0.250 0.750
W1 0.250 0.250 0.250
```

Properties
M_tot in μB/atom: 1.21
Fermi-level density of states in states/eV per cell: 11.00
Energy of formation in kJ per mole of atoms: 162.2

=====

CaScAs2H: relaxed, PBEsol.

Geometry as CIF:
```
data_CaScAs2H
_space_group_name_H-M_alt 'P 4/m m m'
_space_group_IT_number 123
_space_group_name_Hall '-P 4 2'
_cell_length_a 5.380
_cell_length_b 5.380
_cell_length_c 3.532
_cell_angle_alpha 90.00
_cell_angle_beta 90.00
_cell_angle_gamma 90.00
loop_
_atom_site_label
_atom_site_fract_x
_atom_site_fract_y
_atom_site_fract_z
Ca1 0.000 0.000 0.000
Sc1 0.500 0.500 0.500
As1 0.000 0.500 0.000
H1 0.000 0.000 0.500
```

Properties
Calculated total energy in eV/atom: -4.404
M_tot in μB/atom: 0.00
Fermi-level density of states in states/eV per cell: 3.81

=====

Ta13W3: relaxed, PBEsol.

Geometry as CIF:
```
data_Ta13W3
_space_group_name_H-M_alt 'A m m 2'
_space_group_IT_number 38
_cell_length_a 6.496
_cell_length_b 9.192
_cell_length_c 9.224
_cell_angle_alpha 90.00
_cell_angle_beta 90.00
_cell_angle_gamma 90.00
loop_
_space_group_symop_operation_xyz
'x,y,z'
'-x,-y,z'
'-x,y,z'
'x,-y,z'
'x,y+1/2,z+1/2'
'-x,-y+1/2,z+1/2'
'-x,y+1/2,z+1/2'
'x,-y+1/2,z+1/2'
loop_
_atom_site_label
_atom_site_fract_x
_atom_site_fract_y
_atom_site_fract_z
Ta1 0.000 0.000 0.000
Ta2 0.000 0.000 0.508
Ta3 0.000 0.245 0.754
Ta4 0.252 0.000 0.252
Ta5 0.252 0.247 0.004
Ta6 0.500 0.000 0.509
Ta7 0.500 0.245 0.754
W1 0.252 0.000 0.756
W2 0.500 0.000 0.001
```

Properties
M_tot in μB/atom: 0.00
Fermi-level density of states in states/eV per cell: 38.42
Energy of formation in kJ per mole of atoms: -2.8

=====

LaCoOs: relaxed, PBEsol.

Geometry as CIF:
```
data_LaCoOs
_space_group_name_H-M_alt 'P -6 m 2'
_space_group_IT_number 187
_space_group_name_Hall 'P -6 2'
_cell_length_a 4.0107
_cell_length_b 4.0107
_cell_length_c 4.3293
_cell_angle_alpha 90.00
_cell_angle_beta 90.00
_cell_angle_gamma 120.00
loop_
_atom_site_label
_atom_site_fract_x
_atom_site_fract_y
_atom_site_fract_z
La1 0.0000 0.0000 0.0000
Co1 0.6667 0.3333 0.5000
Os1 0.3333 0.6667 0.5000
```

Properties
M_tot in μB/atom: 0.26
Fermi-level density of states in states/eV per cell: 3.63
Energy of formation in kJ per mole of atoms: 8.2

=====

CuAgOs2: relaxed, PBEsol.

Geometry as CIF:
```
data_CuAgOs2
_space_group_name_H-M_alt 'I -4 m 2'
_space_group_IT_number 119
_space_group_name_Hall 'I -4 -2'
_cell_length_a 3.900
_cell_length_b 3.900
_cell_length_c 7.307
_cell_angle_alpha 90.00
_cell_angle_beta 90.00
_cell_angle_gamma 90.00
loop_
_atom_site_label
_atom_site_fract_x
_atom_site_fract_y
_atom_site_fract_z
Cu1 0.000 0.000 0.000
Ag1 0.000 0.500 0.750
Os1 0.000 0.000 0.500
Os2 0.000 0.500 0.250
```

Properties
M_tot in μB/atom: 0.00
Fermi-level density of states in states/eV per cell: 6.72
Energy of formation in kJ per mole of atoms: 58.7

=====

GeIO3: relaxed, PBEsol.

Geometry as CIF:
```
data_GeIO3
_space_group_name_H-M_alt 'P m -3 m'
_space_group_IT_number 221
_space_group_name_Hall '-P 4 2 3'
_cell_length_a 4.180
_cell_length_b 4.180
_cell_length_c 4.180
_cell_angle_alpha 90.00
_cell_angle_beta 90.00
_cell_angle_gamma 90.00
loop_
_atom_site_label
_atom_site_fract_x
_atom_site_fract_y
_atom_site_fract_z
Ge1 0.000 0.000 0.000
I1 0.500 0.500 0.500
O1 0.000 0.500 0.500
```

Properties
M_tot in μB/atom: 0.00
Formation energy (no corrections) in kJ per mole of atoms: 7
Fermi-level density of states in states/eV per cell: 2.78

=====

Bi3TeH: relaxed, PBEsol.

Geometry as CIF:
```
data_Bi3TeH
_space_group_name_H-M_alt 'P m -3 m'
_space_group_IT_number 221
_space_group_name_Hall '-P 4 2 3'
_cell_length_a 4.940
_cell_length_b 4.940
_cell_length_c 4.940
_cell_angle_alpha 90.00
_cell_angle_beta 90.00
_cell_angle_gamma 90.00
loop_
_atom_site_label
_atom_site_fract_x
_atom_site_fract_y
_atom_site_fract_z
Bi1 0.000 0.000 0.500
Te1 0.500 0.500 0.500
H1 0.000 0.000 0.000
```

Properties
Calculated total energy in eV/atom: -3.595
M_tot in μB/atom: 0.00
Fermi-level density of states in states/eV per cell: 3.72

=====

MgTe2Pt: relaxed, PBEsol.

Geometry as CIF:
```
data_MgTe2Pt
_space_group_name_H-M_alt 'I m m m'
_space_group_IT_number 71
_space_group_name_Hall '-I 2 2'
_cell_length_a 3.865
_cell_length_b 4.433
_cell_length_c 12.035
_cell_angle_alpha 90.00
_cell_angle_beta 90.00
_cell_angle_gamma 90.00
loop_
_atom_site_label
_atom_site_fract_x
_atom_site_fract_y
_atom_site_fract_z
Mg1 0.000 0.000 0.000
Te1 0.000 0.500 0.153
Pt1 0.000 0.000 0.500
```

Properties
M_tot in μB/atom: 0.00
Formation energy (no corrections) in kJ per mole of atoms: -50
Fermi-level density of states in states/eV per cell: 1.40

=====

Mg2FeRe: relaxed, PBEsol.

Geometry as CIF:
```
data_Mg2FeRe
_space_group_name_H-M_alt 'C m m m'
_space_group_IT_number 65
_space_group_name_Hall '-C 2 2'
_cell_length_a 3.250
_cell_length_b 4.180
_cell_length_c 8.860
_cell_angle_alpha 90.00
_cell_angle_beta 90.00
_cell_angle_gamma 90.00
loop_
_atom_site_label
_atom_site_fract_x
_atom_site_fract_y
_atom_site_fract_z
Mg1 0.000 0.000 0.241
Fe1 0.000 0.500 0.000
Re1 0.000 0.500 0.500
```

Properties
M_tot in μB/atom: 0.57
Fermi-level density of states in states/eV per cell: 5.81
Energy of formation in kJ per mole of atoms: 34.2

=====

LiTi2Fe: relaxed, PBEsol.

Geometry as CIF:
```
data_LiTi2Fe
_space_group_name_H-M_alt 'F m -3 m'
_space_group_IT_number 225
_space_group_name_Hall '-F 4 2 3'
_cell_length_a 5.944
_cell_length_b 5.944
_cell_length_c 5.944
_cell_angle_alpha 90.00
_cell_angle_beta 90.00
_cell_angle_gamma 90.00
loop_
_atom_site_label
_atom_site_fract_x
_atom_site_fract_y
_atom_site_fract_z
Li1 0.000 0.000 0.000
Ti1 0.250 0.250 0.250
Fe1 0.000 0.000 0.500
```

Properties
M_tot in μB/atom: 0.00
Fermi-level density of states in states/eV per cell: 10.75
Energy of formation in kJ per mole of atoms: -5.3

=====

Ba3YIr2O9: relaxed, PBEsol.

Geometry as CIF:
```
data_Ba3YIr2O9
_space_group_name_H-M_alt 'P 63 m c'
_space_group_IT_number 186
_space_group_name_Hall 'P 6c -2c'
_cell_length_a 5.8478
_cell_length_b 5.8478
_cell_length_c 14.6389
_cell_angle_alpha 90.00
_cell_angle_beta 90.00
_cell_angle_gamma 120.00
loop_
_atom_site_label
_atom_site_fract_x
_atom_site_fract_y
_atom_site_fract_z
Ba1 0.0000 0.0000 0.0000
Ba2 0.3333 0.6667 0.1791
Ba3 0.3333 0.6667 0.8535
Y1 0.3333 0.6667 0.6030
Ir1 0.0000 0.0000 0.2592
Ir2 0.3333 0.6667 0.4096
O1 0.0215 0.5108 0.4915
O2 0.1543 0.3086 0.6795
O3 0.1664 0.3327 0.3342
```

Properties
M_tot in μB/atom: 0.20
Formation energy (no corrections) in kJ per mole of atoms: -201
Fermi-level density of states in states/eV per cell: 11.09

=====

MgTc: relaxed, PBEsol.

Geometry as CIF:
```
data_MgTc
_space_group_name_H-M_alt 'P 4/n m m'
_space_group_IT_number 129
_cell_length_a 3.026
_cell_length_b 3.026
_cell_length_c 7.234
_cell_angle_alpha 90.00
_cell_angle_beta 90.00
_cell_angle_gamma 90.00
loop_
_space_group_symop_operation_xyz
'x,y,z'
'-x,-y,-z'
'-y+1/2,x,z'
'y+1/2,-x,-z'
'-x+1/2,-y+1/2,z'
'x+1/2,y+1/2,-z'
'y,-x+1/2,z'
'-y,x+1/2,-z'
'x+1/2,-y,-z'
'-x+1/2,y,z'
'-y,-x,-z'
'y,x,z'
'-x,y+1/2,-z'
'x,-y+1/2,z'
'y+1/2,x+1/2,-z'
'-y+1/2,-x+1/2,z'
loop_
_atom_site_label
_atom_site_fract_x
_atom_site_fract_y
_atom_site_fract_z
Mg1 0.250 0.250 0.155
Tc1 0.250 0.250 0.593
```

Properties
M_tot in μB/atom: 0.00
Fermi-level density of states in states/eV per cell: 1.58
Energy of formation in kJ per mole of atoms: 1.4